## BeZnIn2 (PBE)

Data for a relaxed structure of BeZnIn2.

a = 4.4870 Å, b = 4.4870 Å, c = 5.7864 Å
α = 102.42°, β = 102.42°, γ = 43.45°
Last column: nearest neighbours and their distance in Å.
Atoms (fractional coordinates):
Be1 0.0000 0.0000 0.0000  6 In 2.71-2.78
Zn1 0.5000 0.5000 0.5000  6 In 2.82-2.88
In1 0.2589 0.2589 0.7706  3 Be 2.71-2.78, 3 Zn 2.82-2.88
In2 0.7411 0.7411 0.2294  3 Be 2.71-2.78, 3 Zn 2.82-2.88

Calculated values
Energy of formation = 132 kJ/mol of formula units
Calculated volume = 19.5 Å³ per atom
Crystal system = monoclinic

## K4TlSi (PBE)

Data for a relaxed structure of K4TlSi.

a = 7.0095 Å, b = 7.0095 Å, c = 7.0095 Å
α = 60.00°, β = 60.00°, γ = 60.00°
Last column: nearest neighbours and their distance in Å.
Atoms (fractional coordinates):
K1 0.1238 0.1238 0.1238  6 K 3.47-3.54
K2 0.1238 0.1238 0.6287  6 K 3.47-3.54
K3 0.1238 0.6287 0.1238  6 K 3.47-3.54
K4 0.6287 0.1238 0.1238  6 K 3.47-3.54
Tl1 0.5000 0.5000 0.5000  12 K 4.11, 4 Si 4.29
Si1 0.7500 0.7500 0.7500  12 K 4.11, 4 Tl 4.29

Calculated values
Calculated volume = 40.6 Å³ per atom
Crystal system = cubic
Energy relative to the elements, uncorrected = 0.492 eV/atom

## SrNi2Se (PBE)

Data for a relaxed structure of SrNi2Se.

a = 4.1841 Å, b = 4.1973 Å, c = 4.2046 Å
α = 90.00°, β = 90.00°, γ = 90.00°
Last column: nearest neighbours and their distance in Å.
Atoms (fractional coordinates):
Sr1 0.0000 0.0000 0.0000  4 Se 2.96, 8 Ni 2.97
Ni1 0.0000 0.5000 0.5000  4 Ni 2.96, 4 Se 2.97, 4 Sr 2.97
Ni2 0.5000 0.0000 0.5000  4 Ni 2.96, 4 Sr 2.97, 4 Se 2.97
Se1 0.5000 0.5000 0.0000  4 Sr 2.96, 8 Ni 2.97

Calculated values
Calculated volume = 18.5 Å³ per atom
Crystal system = orthorhombic
Energy relative to the elements, uncorrected = 0.044 eV/atom